1.
Compound: Al2CdOs
Source: Alexandria
Functional: GGA-PBE
Structure: relaxed

CIF file:
```
data_Al2CdOs
_cell_length_a 8.7681
_cell_length_b 3.1139
_cell_length_c 4.9995
_cell_angle_alpha 90.00
_cell_angle_beta 101.83
_cell_angle_gamma 90.00
_space_group_name_H-M_alt 'C 1 2/m 1'
_space_group_IT_number 12
loop_
_space_group_symop_operation_xyz
'x,y,z'
'-x,-y,-z'
'-x,y,-z'
'x,-y,z'
'x+1/2,y+1/2,z'
'-x+1/2,-y+1/2,-z'
'-x+1/2,y+1/2,-z'
'x+1/2,-y+1/2,z'
loop_
_atom_site_label
_atom_site_type_symbol
_atom_site_fract_x
_atom_site_fract_y
_atom_site_fract_z
Al1 Al 0.2318 0.0000 0.1993
Cd1 Cd 0.0000 0.0000 0.5000
Os1 Os 0.0000 0.5000 0.0000
```

Properties
Calculated formation energy ... 0.03 eV/atom

***

2.
Compound: AlCdOs3
Source: Alexandria
Functional: GGA-PBE
Structure: relaxed

CIF file:
```
data_AlCdOs3
_cell_length_a 4.7903
_cell_length_b 4.7903
_cell_length_c 4.7903
_cell_angle_alpha 90.00
_cell_angle_beta 90.00
_cell_angle_gamma 90.00
_space_group_name_H-M_alt 'P m -3 m'
_space_group_IT_number 221
_space_group_name_Hall '-P 4 2 3'
loop_
_atom_site_label
_atom_site_type_symbol
_atom_site_fract_x
_atom_site_fract_y
_atom_site_fract_z
Al1 Al 0.0000 0.0000 0.0000
Cd1 Cd 0.5000 0.5000 0.5000
Os1 Os 0.0000 0.5000 0.5000
```

Properties
Calculated formation energy ... 2.95 eV/atom

***

3.
Compound: AlCdOs3
Source: Alexandria
Functional: GGA-PBE
Structure: relaxed

CIF file:
```
data_AlCdOs3
_cell_length_a 4.4831
_cell_length_b 4.4831
_cell_length_c 4.4831
_cell_angle_alpha 90.00
_cell_angle_beta 90.00
_cell_angle_gamma 90.00
_space_group_name_H-M_alt 'P m -3 m'
_space_group_IT_number 221
_space_group_name_Hall '-P 4 2 3'
loop_
_atom_site_label
_atom_site_type_symbol
_atom_site_fract_x
_atom_site_fract_y
_atom_site_fract_z
Al1 Al 0.0000 0.0000 0.0000
Cd1 Cd 0.5000 0.5000 0.5000
Os1 Os 0.0000 0.0000 0.5000
```

Properties
Calculated formation energy ... 1.55 eV/atom

***

4.
Compound: Al2CdOs
Source: Alexandria
Functional: GGA-PBE
Structure: relaxed

CIF file:
```
data_Al2CdOs
_cell_length_a 6.3683
_cell_length_b 6.3683
_cell_length_c 6.3683
_cell_angle_alpha 90.00
_cell_angle_beta 90.00
_cell_angle_gamma 90.00
_space_group_name_H-M_alt 'F -4 3 m'
_space_group_IT_number 216
_space_group_name_Hall 'F -4 2 3'
loop_
_atom_site_label
_atom_site_type_symbol
_atom_site_fract_x
_atom_site_fract_y
_atom_site_fract_z
Al1 Al 0.0000 0.0000 0.0000
Al2 Al 0.2500 0.2500 0.2500
Cd1 Cd 0.0000 0.0000 0.5000
Os1 Os 0.2500 0.2500 0.7500
```

Properties
Calculated formation energy ... 0.31 eV/atom

***

5.
Compound: AlCd2Os
Source: Alexandria
Functional: GGA-PBE
Structure: relaxed

CIF file:
```
data_AlCd2Os
_cell_length_a 3.4073
_cell_length_b 4.5420
_cell_length_c 9.1144
_cell_angle_alpha 90.00
_cell_angle_beta 90.00
_cell_angle_gamma 90.00
_space_group_name_H-M_alt 'I m m 2'
_space_group_IT_number 44
loop_
_space_group_symop_operation_xyz
'x,y,z'
'-x,-y,z'
'-x,y,z'
'x,-y,z'
'x+1/2,y+1/2,z+1/2'
'-x+1/2,-y+1/2,z+1/2'
'-x+1/2,y+1/2,z+1/2'
'x+1/2,-y+1/2,z+1/2'
loop_
_atom_site_label
_atom_site_type_symbol
_atom_site_fract_x
_atom_site_fract_y
_atom_site_fract_z
Al1 Al 0.0000 0.0000 0.0000
Cd1 Cd 0.0000 0.0000 0.5378
Cd2 Cd 0.0000 0.5000 0.7662
Os1 Os 0.0000 0.5000 0.2991
```

Properties
Calculated formation energy ... 0.25 eV/atom

***

6.
Compound: Al2CdOs
Source: Alexandria
Functional: GGA-PBE
Structure: relaxed

CIF file:
```
data_Al2CdOs
_cell_length_a 3.3515
_cell_length_b 3.3515
_cell_length_c 5.8053
_cell_angle_alpha 90.00
_cell_angle_beta 90.00
_cell_angle_gamma 90.00
_space_group_name_H-M_alt 'P 4 m m'
_space_group_IT_number 99
loop_
_space_group_symop_operation_xyz
'x,y,z'
'-y,x,z'
'-x,-y,z'
'y,-x,z'
'-x,y,z'
'y,x,z'
'x,-y,z'
'-y,-x,z'
loop_
_atom_site_label
_atom_site_type_symbol
_atom_site_fract_x
_atom_site_fract_y
_atom_site_fract_z
Al1 Al 0.0000 0.0000 0.0000
Al2 Al 0.5000 0.5000 0.2596
Cd1 Cd 0.0000 0.0000 0.5169
Os1 Os 0.5000 0.5000 0.8250
```

Properties
Calculated formation energy ... 0.00 eV/atom

***

7.
Compound: Al2CdOs
Source: Alexandria
Functional: GGA-PBE
Structure: relaxed

CIF file:
```
data_Al2CdOs
_cell_length_a 2.9772
_cell_length_b 4.6529
_cell_length_c 4.6433
_cell_angle_alpha 90.00
_cell_angle_beta 90.00
_cell_angle_gamma 90.00
_space_group_name_H-M_alt 'P m m 2'
_space_group_IT_number 25
loop_
_space_group_symop_operation_xyz
'x,y,z'
'-x,-y,z'
'-x,y,z'
'x,-y,z'
loop_
_atom_site_label
_atom_site_type_symbol
_atom_site_fract_x
_atom_site_fract_y
_atom_site_fract_z
Al1 Al 0.0000 0.0000 0.0000
Al2 Al 0.5000 0.5000 0.1928
Cd1 Cd 0.0000 0.5000 0.6844
Os1 Os 0.5000 0.0000 0.4657
```

Properties
Calculated formation energy ... 0.05 eV/atom

***

8.
Compound: Al2CdOs
Source: Alexandria
Functional: GGA-PBE
Structure: relaxed

CIF file:
```
data_Al2CdOs
_cell_length_a 2.8585
_cell_length_b 2.8585
_cell_length_c 28.5927
_cell_angle_alpha 90.00
_cell_angle_beta 90.00
_cell_angle_gamma 120.00
_space_group_name_H-M_alt 'R 3 m'
_space_group_IT_number 160
_space_group_name_Hall 'R 3 -2"'
loop_
_atom_site_label
_atom_site_type_symbol
_atom_site_fract_x
_atom_site_fract_y
_atom_site_fract_z
Al1 Al 0.0000 0.0000 0.0000
Al2 Al 0.0000 0.0000 0.2521
Cd1 Cd 0.0000 0.0000 0.7626
Os1 Os 0.0000 0.0000 0.5169
```

Properties
Calculated formation energy ... 0.12 eV/atom

***

calculated formation energy of number 3 (AlCdOs3)? 1.55 eV/atom

***

What is the calculated formation energy in the eighth record? 0.12 eV/atom

***

Among the records above, which one has the lowest calculated formation energy? number 6